DFT (PBE-GGA) results for a relaxed structure of PmGaPd.

abc: 4.5465 7.7118 7.1528
angles: 90.00 90.00 90.00
Element x y z (fractional)
Pd1 0.7500 0.5937 0.2883
Pd2 0.7500 0.9063 0.7883
Pd3 0.2500 0.0937 0.2117
Pd4 0.2500 0.4063 0.7117
Ga1 0.7500 0.5780 0.6758
Ga2 0.7500 0.9220 0.1758
Ga3 0.2500 0.0780 0.8242
Ga4 0.2500 0.4220 0.3242
Pm1 0.7500 0.1986 0.5200
Pm2 0.2500 0.8014 0.4800
Pm3 0.7500 0.3014 0.0200
Pm4 0.2500 0.6986 0.9800

Results
V, Å³/cell: 251
ρ, g cm⁻³: 8.505
SG: Pnma (62)
Excess energy over the best structure of this formula in the dataset, kJ/mol of formula units: 0
Formation enthalpy at 0 K, eV/atom: -0.852
Magnetic moment, Bohr magnetons per cell: 0.00
Crystal system: orthorhombic

***

DFT (PBE-GGA) results for a relaxed structure of Cs12Ag5H3.

abc: 18.4045 18.4045 18.4045
angles: 109.47 109.47 109.47
Element x y z (fractional)
Ag1 0.7500 0.6250 0.3750
Ag2 0.2500 0.8750 0.1250
Ag3 0.5000 0.0000 0.5000
Ag4 0.0000 0.0000 0.0000
Ag5 0.5000 0.5000 0.5000
Ag6 0.1250 0.3750 0.2500
Ag7 0.0000 0.5000 0.0000
Ag8 0.2500 0.3750 0.6250
Ag9 0.8750 0.2500 0.6250
Ag10 0.0000 0.0000 0.5000
Ag11 0.6250 0.8750 0.2500
Ag12 0.1250 0.7500 0.3750
Ag13 0.7500 0.1250 0.8750
Ag14 0.5000 0.5000 0.0000
Ag15 0.3750 0.2500 0.1250
Ag16 0.3750 0.1250 0.7500
Ag17 0.8750 0.6250 0.7500
Ag18 0.5000 0.0000 0.0000
Ag19 0.6250 0.7500 0.8750
Ag20 0.0000 0.5000 0.5000
H1 0.2500 0.6250 0.8750
H2 0.1250 0.2500 0.8750
H3 0.7500 0.8750 0.6250
H4 0.8750 0.7500 0.1250
H5 0.1250 0.8750 0.7500
H6 0.7500 0.3750 0.1250
H7 0.8750 0.1250 0.2500
H8 0.3750 0.7500 0.6250
H9 0.3750 0.6250 0.2500
H10 0.6250 0.3750 0.7500
H11 0.2500 0.1250 0.3750
H12 0.6250 0.2500 0.3750
Cs1 0.1738 0.1127 0.7356
Cs2 0.5610 0.9381 0.6738
Cs3 0.1229 0.3873 0.0610
Cs4 0.5619 0.2356 0.1229
Cs5 0.7644 0.3262 0.8873
Cs6 0.3771 0.4390 0.1127
Cs7 0.6127 0.8771 0.4390
Cs8 0.1738 0.0610 0.9381
Cs9 0.0610 0.1738 0.4381
Cs10 0.8262 0.9390 0.0619
Cs11 0.0619 0.6229 0.7356
Cs12 0.0619 0.4390 0.8262
Cs13 0.1127 0.1738 0.2356
Cs14 0.7644 0.4381 0.3771
Cs15 0.3771 0.9381 0.7644
Cs16 0.0610 0.8873 0.1229
Cs17 0.5619 0.3262 0.9390
Cs18 0.6229 0.5610 0.8873
Cs19 0.9381 0.5610 0.1738
Cs20 0.8873 0.8262 0.7644
Cs21 0.2644 0.8771 0.9381
Cs22 0.6127 0.7356 0.6738
Cs23 0.3873 0.1229 0.5610
Cs24 0.1229 0.7356 0.5619
Cs25 0.1127 0.9390 0.3771
Cs26 0.8873 0.0610 0.6229
Cs27 0.8771 0.6127 0.9390
Cs28 0.2356 0.5619 0.6229
Cs29 0.8262 0.8873 0.2644
Cs30 0.5610 0.6229 0.3873
Cs31 0.9390 0.8262 0.5619
Cs32 0.9381 0.3771 0.2644
Cs33 0.4381 0.7644 0.8771
Cs34 0.9390 0.1127 0.8771
Cs35 0.7356 0.1229 0.0619
Cs36 0.4390 0.0619 0.3262
Cs37 0.6229 0.0619 0.2356
Cs38 0.4390 0.3771 0.6127
Cs39 0.8771 0.2644 0.4381
Cs40 0.2644 0.3873 0.8262
Cs41 0.7356 0.6127 0.1738
Cs42 0.6738 0.4381 0.5610
Cs43 0.3873 0.2644 0.3262
Cs44 0.3262 0.7644 0.3873
Cs45 0.4381 0.6738 0.0610
Cs46 0.3262 0.5619 0.4390
Cs47 0.2356 0.6738 0.1127
Cs48 0.6738 0.2356 0.6127

Results
V, Å³/cell: 4799
ρ, g cm⁻³: 2.958
SG: Ia-3d (230)
E, eV/atom: -1.557
Magnetic moment, Bohr magnetons per cell: 4.42
Crystal system: cubic

***

DFT (PBE-GGA) results for a relaxed structure of SrTl3In3Br8.

abc: 9.4677 9.4707 9.4952
angles: 119.93 90.00 119.99
Element x y z (fractional)
Br1 0.2315 0.0021 0.2726
Br2 0.2294 0.9979 0.7274
Br3 0.7704 0.5409 0.2724
Br4 0.7685 0.9979 0.7274
Br5 0.7706 0.0021 0.2726
Br6 0.2296 0.4591 0.7276
Br7 0.7490 0.4981 0.7470
Br8 0.2510 0.5019 0.2530
In1 0.5000 0.0000 0.5000
In2 0.0000 0.5000 0.5000
In3 0.5000 0.5000 0.5000
Tl1 0.5000 0.5000 0.0000
Tl2 0.0000 0.0000 0.0000
Tl3 0.0000 0.5000 0.0000
Sr1 0.0000 0.0000 0.5000

Results
V, Å³/cell: 603
ρ, g cm⁻³: 4.640
SG: R-3m (166)
E, eV/atom: -3.059
Magnetic moment, Bohr magnetons per cell: 0.00
Crystal system: trigonal

***

DFT (PBE-GGA) results for a relaxed structure of Ta6V2W.

abc: 4.3561 6.1807 7.5611
angles: 114.12 106.79 90.00
Element x y z (fractional)
Ta1 0.1692 0.9158 0.3387
Ta2 0.8308 0.5771 0.6613
Ta3 0.5000 0.2578 0.0000
Ta4 0.5000 0.7422 0.0000
Ta5 0.1692 0.4229 0.3387
Ta6 0.8308 0.0842 0.6613
V1 0.6668 0.6672 0.3343
V2 0.3332 0.3328 0.6657
W1 0.0000 0.0000 0.0000

Results
V, Å³/cell: 176
ρ, g cm⁻³: 12.921
SG: Immm (71)
Formation enthalpy at 0 K, eV/atom: 0.710
Magnetic moment, Bohr magnetons per cell: 0.00
Crystal system: orthorhombic

***

DFT (PBE-GGA) results for a relaxed structure of AlFeOs2.

abc: 4.7205 4.7205 4.4319
angles: 78.17 78.17 34.52
Last column: magnetic moment on the atom in μB.
Element x y z (fractional)
Os1 0.7466 0.7466 0.7744  0.08
Os2 0.0013 0.0013 0.9795  0.00
Fe1 0.2517 0.2517 0.2684  2.18
Al1 0.5004 0.5004 0.4777  -0.01

Results
V, Å³/cell: 55
ρ, g cm⁻³: 14.076
SG: Cm (8)
Formation enthalpy at 0 K, eV/atom: -0.051
Magnetic moment, Bohr magnetons per cell: 2.22
Crystal system: monoclinic

***

DFT (PBE-GGA) results for a relaxed structure of La2Hf2F.

abc: 3.9631 3.9631 9.5412
angles: 78.01 78.01 90.00
Element x y z (fractional)
La1 0.3991 0.3991 0.2019
La2 0.6009 0.6009 0.7981
Hf1 0.2500 0.7500 0.5000
Hf2 0.7500 0.2500 0.5000
F1 0.0000 0.0000 0.0000

Results
V, Å³/cell: 143
ρ, g cm⁻³: 7.579
SG: I4/mmm (139)
Excess energy over the best structure of this formula in the dataset, kJ/mol of formula units: 82
Magnetic moment, Bohr magnetons per cell: 0.00
Crystal system: tetragonal

***

DFT (PBE-GGA) results for a relaxed structure of LaAs3.

abc: 5.3677 5.3677 5.3677
angles: 112.20 112.20 112.20
Element x y z (fractional)
As1 0.5000 0.0000 0.5000
As2 0.0000 0.0000 0.0000
As3 0.0000 0.5000 0.5000
La1 0.5000 0.5000 0.0000

Results
V, Å³/cell: 105
ρ, g cm⁻³: 5.733
SG: R-3m (166)
Formation enthalpy at 0 K, eV/atom: -0.399
Magnetic moment, Bohr magnetons per cell: 0.00
Crystal system: trigonal

***

DFT (PBE-GGA) results for a relaxed structure of Rb3Sm3GeO8.

abc: 6.9288 6.9294 7.7476
angles: 116.57 90.00 120.00
Element x y z (fractional)
Ge1 0.0000 0.0000 0.5000
Rb1 0.5000 0.5000 0.0000
Rb2 0.0000 0.0000 0.0000
Rb3 0.0000 0.5000 0.0000
O1 0.2342 0.0362 0.3384
O2 0.7253 0.4505 0.6757
O3 0.2747 0.5495 0.3243
O4 0.7658 0.9638 0.6616
O5 0.1980 0.3959 0.6616
O6 0.8021 0.0362 0.3384
O7 0.8020 0.6041 0.3384
O8 0.1979 0.9638 0.6616
Sm1 0.5000 0.5000 0.5000
Sm2 0.5000 0.0000 0.5000
Sm3 0.0000 0.5000 0.5000

Results
V, Å³/cell: 276
ρ, g cm⁻³: 5.467
SG: R-3m (166)
E, eV/atom: -6.451
Magnetic moment, Bohr magnetons per cell: 0.00
Crystal system: trigonal

***

DFT (PBE-GGA) results for a relaxed structure of MgIn3.

abc: 6.0992 6.0992 6.0992
angles: 116.79 116.79 116.79
Element x y z (fractional)
In1 0.5000 0.5000 0.0000
In2 0.0000 0.0000 0.0000
In3 0.0000 0.5000 0.5000
Mg1 0.5000 0.0000 0.5000

Results
V, Å³/cell: 103
ρ, g cm⁻³: 5.929
SG: R-3m (166)
Formation enthalpy at 0 K, eV/atom: -0.002
Magnetic moment, Bohr magnetons per cell: 0.00
Crystal system: trigonal

***

DFT (PBE-GGA) results for a relaxed structure of LaBeFe2.

abc: 4.5721 4.5721 4.5721
angles: 60.00 60.00 60.00
Last column: magnetic moment on the atom in μB.
Element x y z (fractional)
Fe1 0.0000 0.0000 0.0000  2.45
Fe2 0.2500 0.2500 0.2500  2.77
La1 0.7500 0.7500 0.7500  -0.07
Be1 0.5000 0.5000 0.5000  -0.03

Results
V, Å³/cell: 68
ρ, g cm⁻³: 6.379
SG: F-43m (216)
Formation enthalpy at 0 K, eV/atom: 0.527
Magnetic moment, Bohr magnetons per cell: 5.07
Crystal system: cubic

***

DFT (PBE-GGA) results for a relaxed structure of SmErAu2.

abc: 3.5892 3.5892 7.3548
angles: 90.00 90.00 90.00
Element x y z (fractional)
Au1 0.0000 0.0000 0.2314
Au2 0.0000 0.0000 0.7686
Er1 0.5000 0.5000 0.0000
Sm1 0.5000 0.5000 0.5000

Results
V, Å³/cell: 95
ρ, g cm⁻³: 12.471
SG: P4/mmm (123)
Formation enthalpy at 0 K, eV/atom: -0.842
Magnetic moment, Bohr magnetons per cell: 0.00
Crystal system: tetragonal

***

DFT (PBE-GGA) results for a relaxed structure of ErAgSb.

abc: 4.2986 4.2986 7.7044
angles: 90.00 90.00 90.00
Element x y z (fractional)
Sb1 0.8364 0.3364 0.7619
Sb2 0.3364 0.8364 0.2381
Ag1 0.8365 0.8365 0.5000
Ag2 0.3365 0.3365 0.5000
Er1 0.3364 0.8364 0.8434
Er2 0.8364 0.3364 0.1566

Results
V, Å³/cell: 142
ρ, g cm⁻³: 9.259
SG: P4/nmm (129)
E, eV/atom: -4.427
Magnetic moment, Bohr magnetons per cell: 0.00
Crystal system: tetragonal

***

Copy entry 6 word for word.
DFT (PBE-GGA) results for a relaxed structure of La2Hf2F.

abc: 3.9631 3.9631 9.5412
angles: 78.01 78.01 90.00
Element x y z (fractional)
La1 0.3991 0.3991 0.2019
La2 0.6009 0.6009 0.7981
Hf1 0.2500 0.7500 0.5000
Hf2 0.7500 0.2500 0.5000
F1 0.0000 0.0000 0.0000

Results
V, Å³/cell: 143
ρ, g cm⁻³: 7.579
SG: I4/mmm (139)
Excess energy over the best structure of this formula in the dataset, kJ/mol of formula units: 82
Magnetic moment, Bohr magnetons per cell: 0.00
Crystal system: tetragonal